! BaMo2IrO8 PBE+U relaxed; values from VASP
&SYSTEM
  ibrav = 0, nat = 12, ntyp = 4
/
ATOMIC_SPECIES
Ir 192.22 Ir.upf
O 16.00 O.upf
Ba 137.33 Ba.upf
Mo 95.94 Mo.upf
ATOMIC_POSITIONS crystal
Ir 0.000 0.000 0.000
O 0.296 0.296 0.577
O 0.259 0.780 0.190
O 0.780 0.259 0.190
O 0.213 0.213 0.951
O 0.741 0.220 0.810
O 0.220 0.741 0.810
O 0.787 0.787 0.049
O 0.704 0.704 0.423
Ba 0.000 0.000 0.500
Mo 0.366 0.366 0.791
Mo 0.634 0.634 0.209
CELL_PARAMETERS angstrom
5.445 -0.167 -0.027
2.363 4.908 -0.027
0.323 0.196 7.694
! **DFT total energy**: -83.8 eV/cell